No. 1
The following is a DFT calculation (GGA-PBE) of crystalline CuPt at its relaxed geometry.

abc: 2.708 2.708 8.897
angles: 90.00 90.00 120.00
Atoms (fractional coordinates):
Cu1 0.000 0.000 0.013
Cu2 0.333 0.667 0.237
Pt1 0.000 0.000 0.483
Pt2 0.333 0.667 0.767

**E_form**: -0.074 eV per atom
**Crystal system**: trigonal
**SG**: P-3m1


No. 2
The following is a DFT calculation (GGA-PBE) of crystalline Li3BiO4 at its relaxed geometry.

abc: 7.646 7.646 7.646
angles: 109.47 109.47 109.47
Atoms (fractional coordinates):
Li1 0.520 0.282 0.000
Li2 0.520 0.000 0.282
Li3 0.762 0.480 0.480
Li4 0.718 0.238 0.718
Li5 0.718 0.718 0.238
Li6 0.282 0.520 0.000
Li7 0.282 0.000 0.520
Li8 0.480 0.480 0.762
Li9 0.480 0.762 0.480
Li10 0.000 0.520 0.282
Li11 0.000 0.282 0.520
Li12 0.238 0.718 0.718
Bi1 0.719 0.000 0.000
Bi2 0.281 0.281 0.281
Bi3 0.000 0.719 0.000
Bi4 0.000 0.000 0.719
O1 0.755 0.250 0.250
O2 0.750 0.506 0.000
O3 0.750 0.000 0.506
O4 0.230 0.000 0.000
O5 0.000 0.230 0.000
O6 0.000 0.000 0.230
O7 0.506 0.750 0.000
O8 0.494 0.245 0.494
O9 0.506 0.000 0.750
O10 0.494 0.494 0.245
O11 0.245 0.494 0.494
O12 0.250 0.755 0.250
O13 0.250 0.250 0.755
O14 0.770 0.770 0.770
O15 0.000 0.750 0.506
O16 0.000 0.506 0.750

**Crystal system**: cubic
**Formation energy (no corrections)**: -1.51 eV/atom
**SG**: I-43m


No. 3
The following is a DFT calculation (GGA-PBE) of crystalline La9PmHo2 at its relaxed geometry.

abc: 5.210 5.210 15.648
angles: 90.00 90.00 90.00
Atoms (fractional coordinates):
La1 0.500 0.500 0.000
La2 0.500 0.500 0.334
La3 0.500 0.500 0.666
La4 0.500 0.000 0.168
La5 0.500 0.000 0.500
La6 0.500 0.000 0.832
La7 0.000 0.500 0.168
La8 0.000 0.500 0.500
La9 0.000 0.500 0.832
Pm1 0.000 0.000 0.000
Ho1 0.000 0.000 0.334
Ho2 0.000 0.000 0.666

**E_form**: 0.007 eV per atom
**Crystal system**: tetragonal
**SG**: P4/mmm


No. 4
The following is a DFT calculation (GGA-PBE) of crystalline Dy12Ho6Zr at its relaxed geometry.

abc: 9.295 9.295 9.295
angles: 110.91 110.91 110.91
Atoms (fractional coordinates):
Dy1 0.371 0.054 0.581
Dy2 0.054 0.581 0.371
Dy3 0.581 0.371 0.054
Dy4 0.629 0.946 0.419
Dy5 0.946 0.419 0.629
Dy6 0.419 0.629 0.946
Dy7 0.103 0.155 0.742
Dy8 0.258 0.897 0.845
Dy9 0.845 0.258 0.897
Dy10 0.897 0.845 0.258
Dy11 0.742 0.103 0.155
Dy12 0.155 0.742 0.103
Ho1 0.208 0.311 0.466
Ho2 0.689 0.534 0.792
Ho3 0.534 0.792 0.689
Ho4 0.792 0.689 0.534
Ho5 0.311 0.466 0.208
Ho6 0.466 0.208 0.311
Zr1 0.000 0.000 0.000

**E_form**: 0.032 eV per atom
**Crystal system**: trigonal
**SG**: R-3


No. 5
The following is a DFT calculation (GGA-PBE) of crystalline Tm4CoRu3 at its relaxed geometry.

abc: 3.351 3.351 13.260
angles: 90.00 90.00 90.00
Atoms (fractional coordinates):
Ru1 0.500 0.500 0.245
Ru2 0.500 0.500 0.500
Ru3 0.500 0.500 0.755
Tm1 0.000 0.000 0.877
Tm2 0.000 0.000 0.123
Tm3 0.000 0.000 0.374
Tm4 0.000 0.000 0.626
Co1 0.500 0.500 0.000

**E_form**: -0.379 eV per atom
**Crystal system**: tetragonal
**SG**: P4/mmm